(1)
The following is a GGA-PBE calculation of a relaxed structure of LaPm2GaN4, from the Alexandria database.

Summary:
For the formation energy without anion corrections, the calculation gives -1.101 eV per atom.

a = 3.529 Å, b = 6.195 Å, c = 12.136 Å
α = 90.00°, β = 90.00°, γ = 106.55°
Sites, in units of the cell vectors:
1 La 0.105 0.209 0.750
2 N 0.731 0.461 0.627
3 Pm 0.369 0.738 0.955
4 N 0.564 0.129 0.250
5 N 0.269 0.539 0.127
6 N 0.000 0.000 0.000
7 La 0.895 0.791 0.250
8 N 0.269 0.539 0.373
9 Pm 0.631 0.262 0.045
10 N 0.731 0.461 0.873
11 Ga 0.166 0.331 0.250
12 Pm 0.631 0.262 0.455
13 Pm 0.369 0.738 0.545
14 N 0.436 0.871 0.750
15 Ga 0.834 0.669 0.750
16 N 0.000 0.000 0.500

(2)
The following is a GGA-PBE calculation of a relaxed structure of LaPm2GaN, from the Alexandria database.

Summary:
For the formation energy without anion corrections, the calculation gives -0.835 eV per atom.

a = 5.019 Å, b = 4.958 Å, c = 4.958 Å
α = 90.00°, β = 90.00°, γ = 90.00°
Sites, in units of the cell vectors:
1 Pm 0.000 0.500 0.000
2 La 0.500 0.000 0.000
3 Ga 0.500 0.500 0.500
4 N 0.000 0.000 0.000
5 Pm 0.000 0.000 0.500

(3)
The following is a GGA-PBE calculation of a relaxed structure of LaPrGaN3, from the Alexandria database.

Summary:
For the formation energy without anion corrections, the calculation gives -0.890 eV per atom.

a = 3.584 Å, b = 7.648 Å, c = 7.685 Å
α = 96.49°, β = 90.00°, γ = 90.00°
Sites, in units of the cell vectors:
1 N 0.750 0.874 0.141
2 N 0.250 0.611 0.862
3 La 0.750 0.831 0.825
4 N 0.250 0.843 0.495
5 La 0.250 0.169 0.175
6 Pr 0.250 0.633 0.174
7 Ga 0.250 0.093 0.606
8 N 0.750 0.389 0.138
9 Pr 0.750 0.367 0.826
10 N 0.250 0.126 0.859
11 N 0.750 0.157 0.505
12 Ga 0.750 0.907 0.394

(4)
The following is a GGA-PBE calculation of a relaxed structure of La2PrGaN, from the Alexandria database.

Summary:
For the formation energy without anion corrections, the calculation gives -0.813 eV per atom.

a = 5.074 Å, b = 5.045 Å, c = 5.045 Å
α = 90.00°, β = 90.00°, γ = 90.00°
Sites, in units of the cell vectors:
1 La 0.000 0.000 0.500
2 Pr 0.500 0.000 0.000
3 Ga 0.500 0.500 0.500
4 La 0.000 0.500 0.000
5 N 0.000 0.000 0.000

(5)
The following is a GGA-PBE calculation of a relaxed structure of LaPr2GaN4, from the Alexandria database.

Summary:
For the formation energy without anion corrections, the calculation gives -1.006 eV per atom.

a = 3.571 Å, b = 6.259 Å, c = 12.334 Å
α = 90.00°, β = 90.00°, γ = 106.58°
Sites, in units of the cell vectors:
1 N 0.271 0.542 0.371
2 N 0.000 0.000 0.500
3 N 0.000 0.000 0.000
4 N 0.729 0.458 0.629
5 Pr 0.631 0.262 0.045
6 Pr 0.631 0.262 0.455
7 N 0.271 0.542 0.129
8 La 0.104 0.208 0.750
9 Ga 0.167 0.335 0.250
10 Pr 0.369 0.738 0.545
11 Pr 0.369 0.738 0.955
12 N 0.565 0.130 0.250
13 Ga 0.833 0.665 0.750
14 N 0.729 0.458 0.871
15 N 0.435 0.870 0.750
16 La 0.896 0.792 0.250

(6)
The following is a GGA-PBE calculation of a relaxed structure of La2PrGaN4, from the Alexandria database.

Summary:
For the formation energy without anion corrections, the calculation gives -0.995 eV per atom.

a = 3.580 Å, b = 6.259 Å, c = 12.460 Å
α = 90.00°, β = 90.00°, γ = 106.62°
Sites, in units of the cell vectors:
1 N 0.000 0.000 0.000
2 La 0.369 0.739 0.546
3 La 0.631 0.261 0.046
4 Ga 0.833 0.665 0.750
5 Ga 0.167 0.335 0.250
6 N 0.273 0.545 0.369
7 Pr 0.894 0.788 0.250
8 N 0.565 0.129 0.250
9 Pr 0.106 0.212 0.750
10 N 0.727 0.455 0.631
11 N 0.000 0.000 0.500
12 N 0.273 0.545 0.131
13 N 0.727 0.455 0.869
14 La 0.631 0.261 0.454
15 La 0.369 0.739 0.954
16 N 0.435 0.871 0.750

(7)
The following is a GGA-PBE calculation of a relaxed structure of LaGaPtN, from the Alexandria database.

Summary:
For the formation energy without anion corrections, the calculation gives -1.006 eV per atom.

a = 3.990 Å, b = 3.990 Å, c = 9.030 Å
α = 90.00°, β = 90.00°, γ = 90.00°
Sites, in units of the cell vectors:
1 Pt 0.500 0.500 0.500
2 La 0.500 0.000 0.143
3 Pt 0.000 0.000 0.500
4 La 0.000 0.500 0.857
5 Ga 0.000 0.500 0.331
6 N 0.000 0.500 0.115
7 Ga 0.500 0.000 0.669
8 N 0.500 0.000 0.885

(8)
The following is a GGA-PBE calculation of a relaxed structure of LaGa2ReN, from the Alexandria database.

Summary:
For the formation energy without anion corrections, the calculation gives 0.793 eV per atom.

a = 4.783 Å, b = 5.442 Å, c = 4.783 Å
α = 90.00°, β = 90.00°, γ = 90.00°
Last column: magnetic moment on the atom in μB.
Sites, in units of the cell vectors:
1 Ga 0.000 0.000 0.500  -0.01
2 N 0.500 0.500 0.500  1.09
3 Ga 0.500 0.000 0.000  0.01
4 La 0.000 0.500 0.000  -0.05
5 Re 0.000 0.000 0.000  0.12